Entry from Alexandria via LeMat-Bulk: a relaxed structure of RbCdBi2As (PBE-GGA).

Cell: 6.196 6.196 5.706 Å, 90.00 90.00 90.00°
Space group P4/mmm (No. 123)
Asymmetric unit:
1 Rb 0.000 0.000 0.000 (multiplicity 1)
2 Cd 0.500 0.500 0.500 (multiplicity 1)
3 Bi 0.000 0.500 0.000 (multiplicity 2)
4 As 0.000 0.000 0.500 (multiplicity 1)

Computed properties:
ΔH_f (0 K) ... 637 kJ/mol of formula units
Magnetic moment ... 0.00 μB per formula unit

---

Entry from Alexandria via LeMat-Bulk: a relaxed structure of RbCd4BiAs2 (PBE-GGA).

Cell: 4.627 4.627 11.235 Å, 90.00 90.00 90.00°
Space group P4/mmm (No. 123)
Asymmetric unit:
1 Rb 0.000 0.000 0.000 (multiplicity 1)
2 Cd 0.000 0.500 0.317 (multiplicity 4)
3 Bi 0.000 0.000 0.500 (multiplicity 1)
4 As 0.500 0.500 0.181 (multiplicity 2)

Computed properties:
ΔH_f (0 K) ... -131 kJ/mol of formula units
Magnetic moment ... 0.00 μB per formula unit

---

Entry from Alexandria via LeMat-Bulk: a relaxed structure of Sr2Cd2Bi2As (PBE-GGA).

Cell: 4.448 7.019 7.921 Å, 108.41 90.05 108.41°
Space group P-1 (No. 2)
Asymmetric unit:
1 Sr 0.017 0.033 0.268 (multiplicity 2)
2 Cd 0.288 0.576 0.906 (multiplicity 2)
3 Bi 0.300 0.601 0.370 (multiplicity 2)
4 As 0.500 0.000 0.000 (multiplicity 1)

Computed properties:
ΔH_f (0 K) ... -348 kJ/mol of formula units
Magnetic moment ... 0.00 μB per formula unit

---

Entry from Alexandria via LeMat-Bulk: a relaxed structure of Zn2CdBiAs (PBE-GGA).

Cell: 4.970 4.970 5.399 Å, 90.00 90.00 90.00°
Space group P4/mmm (No. 123)
Asymmetric unit:
1 Zn 0.000 0.500 0.000 (multiplicity 2)
2 Cd 0.000 0.000 0.000 (multiplicity 1)
3 Bi 0.500 0.500 0.500 (multiplicity 1)
4 As 0.000 0.000 0.500 (multiplicity 1)

Computed properties:
ΔH_f (0 K) ... 266 kJ/mol of formula units
Magnetic moment ... 0.00 μB per formula unit

---

Entry from Alexandria via LeMat-Bulk: a relaxed structure of Ce5Bi2As2 (PBE-GGA).

Cell: 15.836 8.172 8.167 Å, 90.00 90.00 90.00°
Space group Cmce (No. 64)
Asymmetric unit:
1 Ce 0.000 0.000 0.000 (multiplicity 4)
2 Ce 0.123 0.158 0.342 (multiplicity 16)
3 Bi 0.206 0.000 0.000 (multiplicity 8)
4 As 0.000 0.147 0.646 (multiplicity 8)

Computed properties:
ΔH_f (0 K) ... -804 kJ/mol of formula units
Magnetic moment ... 6.60 μB per formula unit

---

Entry from Alexandria via LeMat-Bulk: a relaxed structure of Ce4BiAs3 (PBE-GGA).

Cell: 4.294 6.124 8.670 Å, 90.00 90.00 90.00°
Space group Pmmm (No. 47)
Asymmetric unit:
1 Ce 0.000 0.000 0.000 (multiplicity 1)
2 Ce 0.000 0.000 0.500 (multiplicity 1)
3 Ce 0.500 0.500 0.231 (multiplicity 2)
4 Bi 0.000 0.500 0.500 (multiplicity 1)
5 As 0.000 0.500 0.000 (multiplicity 1)
6 As 0.500 0.000 0.249 (multiplicity 2)

Computed properties:
ΔH_f (0 K) ... -942 kJ/mol of formula units
Magnetic moment ... 3.17 μB per formula unit

---

How do the records compare in density? In the order shown, they have 5.24; 6.17; 6.70; 6.56; 7.97; 7.24 g cm⁻³.